Entry from the Alexandria database: an optimized crystal structure of CsTlGe (PBE-GGA).

Properties
VASP energy: -2.58 eV per atom
Energy of formation from the pure elements: 0.10 eV/f.u.

abc: 11.416 11.416 4.091
angles: 100.20 100.20 27.10
Fractional positions:
Cs 0.000 0.000 0.000
Cs 0.215 0.215 0.209
Tl 0.587 0.587 0.585
Tl 0.841 0.841 0.344
Ge 0.365 0.365 0.866
Ge 0.434 0.434 0.434

Entry from the Alexandria database: an optimized crystal structure of CsTlGe2 (PBE-GGA).

Properties
VASP energy: -2.66 eV per atom
Excess energy over the best structure of this formula in the dataset: 263.0 meV per atom
Energy of formation from the pure elements: 1.82 eV/f.u.

abc: 5.502 5.502 5.502
angles: 60.00 60.00 60.00
Fractional positions:
Cs 0.000 0.000 0.000
Tl 0.500 0.500 0.500
Ge 0.250 0.250 0.250
Ge 0.750 0.750 0.750

Entry from the Alexandria database: an optimized crystal structure of Cs2TlGe2 (PBE-GGA).

Properties
VASP energy: -2.61 eV per atom
Excess energy over the best structure of this formula in the dataset: 62.1 meV per atom
Energy of formation from the pure elements: 0.24 eV/f.u.

abc: 7.429 7.429 7.429
angles: 139.54 133.41 63.38
Fractional positions:
Cs 0.206 0.206 0.000
Cs 0.794 0.794 0.000
Tl 0.500 0.000 0.500
Ge 0.218 0.500 0.718
Ge 0.782 0.500 0.282

Entry from the Alexandria database: an optimized crystal structure of CsTlGe (PBE-GGA).

Properties
VASP energy: -2.59 eV per atom
Energy of formation from the pure elements: 0.07 eV/f.u.

abc: 9.108 5.279 8.483
angles: 90.00 90.00 90.00
Fractional positions:
Cs 0.008 0.250 0.165
Cs 0.492 0.750 0.665
Cs 0.508 0.250 0.335
Cs 0.992 0.750 0.835
Tl 0.159 0.250 0.589
Tl 0.341 0.750 0.089
Tl 0.659 0.250 0.911
Tl 0.841 0.750 0.411
Ge 0.165 0.750 0.404
Ge 0.335 0.250 0.904
Ge 0.665 0.750 0.096
Ge 0.835 0.250 0.596

Entry from the Alexandria database: an optimized crystal structure of CsTlGe (PBE-GGA).

Properties
VASP energy: -2.65 eV per atom
Energy of formation from the pure elements: -0.12 eV/f.u.

abc: 4.749 4.749 6.199
angles: 90.00 90.00 120.00
Fractional positions:
Cs 0.000 0.000 0.000
Tl 0.667 0.333 0.481
Ge 0.333 0.667 0.534

Entry from the Alexandria database: an optimized crystal structure of CsVGe (PBE-GGA).

Properties
VASP energy: -4.77 eV per atom
Energy of formation from the pure elements: 0.28 eV/f.u.

abc: 4.199 4.199 12.579
angles: 90.00 90.00 90.00
Fractional positions:
Cs 0.250 0.250 0.218
Cs 0.750 0.750 0.782
V 0.250 0.750 0.500
V 0.750 0.250 0.500
Ge 0.250 0.250 0.607
Ge 0.750 0.750 0.393

Entry from the Alexandria database: an optimized crystal structure of CsV2Ge2 (PBE-GGA).

Properties
VASP energy: -4.94 eV per atom
Energy of formation from the pure elements: 3.65 eV/f.u.

abc: 6.137 6.137 6.137
angles: 135.98 135.98 64.01
Fractional positions:
Cs 0.000 0.000 0.000
V 0.373 0.373 0.000
V 0.627 0.627 0.000
Ge 0.250 0.750 0.500
Ge 0.750 0.250 0.500

Entry from the Alexandria database: an optimized crystal structure of CsVZn2Ge (PBE-GGA).

Properties
VASP energy: -3.09 eV per atom
Energy of formation from the pure elements: 1.67 eV/f.u.

abc: 5.288 5.288 4.918
angles: 90.00 90.00 90.00
Fractional positions:
Cs 0.000 0.000 0.000
V 0.500 0.500 0.500
Zn 0.000 0.500 0.500
Zn 0.500 0.000 0.500
Ge 0.500 0.500 0.000

Entry from the Alexandria database: an optimized crystal structure of Cs2GeW (PBE-GGA).

Properties
VASP energy: -3.06 eV per atom
Energy of formation from the pure elements: 7.03 eV/f.u.

abc: 6.176 6.176 6.176
angles: 60.00 60.00 60.00
Fractional positions:
Cs 0.250 0.250 0.250
Cs 0.750 0.750 0.750
Ge 0.000 0.000 0.000
W 0.500 0.500 0.500

Entry from the Alexandria database: an optimized crystal structure of CsGe2W (PBE-GGA).

Properties
VASP energy: -4.37 eV per atom
Excess energy over the best structure of this formula in the dataset: 957.1 meV per atom
Energy of formation from the pure elements: 5.56 eV/f.u.

abc: 5.029 5.029 5.029
angles: 60.00 60.00 60.00
Fractional positions:
Cs 0.000 0.000 0.000
Ge 0.250 0.250 0.250
Ge 0.750 0.750 0.750
W 0.500 0.500 0.500

Entry from the Alexandria database: an optimized crystal structure of CsGe2W (PBE-GGA).

Properties
VASP energy: -5.33 eV per atom
Excess energy over the best structure of this formula in the dataset: 0.0 meV per atom
Energy of formation from the pure elements: 1.73 eV/f.u.

abc: 8.264 8.264 8.264
angles: 130.43 130.43 72.73
Fractional positions:
Cs 0.375 0.625 0.750
Cs 0.625 0.375 0.250
Ge 0.000 0.000 0.000
Ge 0.000 0.000 0.500
Ge 0.000 0.500 0.000
Ge 0.500 0.000 0.500
W 0.125 0.875 0.250
W 0.875 0.125 0.750

Entry from the Alexandria database: an optimized crystal structure of CsGeW2 (PBE-GGA).

Properties
VASP energy: -5.77 eV per atom
Energy of formation from the pure elements: 8.31 eV/f.u.

abc: 6.336 6.336 6.336
angles: 101.78 101.78 126.29
Fractional positions:
Cs 0.000 0.000 0.000
Cs 0.750 0.250 0.500
Ge 0.250 0.750 0.500
Ge 0.500 0.500 0.000
W 0.196 0.625 0.071
W 0.375 0.446 0.571
W 0.554 0.125 0.929
W 0.875 0.804 0.429

Number 1: magnetic moment 0.00 μB/f.u.. Number 2: magnetic moment 0.00 μB/f.u.. Number 3: magnetic moment 0.00 μB/f.u.. Number 4: magnetic moment 0.00 μB/f.u.. Number 5: magnetic moment 0.00 μB/f.u.. Number 6: magnetic moment 0.21 μB/f.u.. Number 7: magnetic moment 0.00 μB/f.u.. Number 8: magnetic moment 2.56 μB/f.u.. Number 9: magnetic moment 2.95 μB/f.u.. Number 10: magnetic moment 2.56 μB/f.u.. Number 11: magnetic moment 0.00 μB/f.u.. Number 12: magnetic moment 0.00 μB/f.u..